Density functional theory data (PBE) for a geometry-optimized Tb4Cd3In2 structure.

Calculated values
formation energy = -0.32 eV/atom
space group = C2/m
total DFT energy (no corrections) = -3.295 eV per atom

a = 5.2077 Å, b = 5.2077 Å, c = 10.1652 Å
α = 90.05°, β = 90.05°, γ = 60.03°
With the nearest neighbours (Å) after each atom.
Atoms (fractional coordinates):
Tb 0.9999 0.9999 0.1732  3 In 3.24, 4 Cd 3.32-3.34, 1 Tb 3.52
Tb 0.0001 0.0001 0.8268  3 In 3.24, 4 Cd 3.32-3.34, 1 Tb 3.52
Tb 0.3333 0.3333 0.3845  4 In 3.15-3.30, 3 Cd 3.23
Tb 0.6667 0.6667 0.6155  4 In 3.15-3.30, 3 Cd 3.23
Cd 0.0000 0.0000 0.5000  8 Tb 3.23-3.32
Cd 0.3333 0.3333 0.0311  3 Cd 3.07, 1 In 3.28, 3 Tb 3.34
Cd 0.6667 0.6667 0.9689  3 Cd 3.07, 1 In 3.28, 3 Tb 3.34
In 0.3335 0.3335 0.7087  7 Tb 3.15-3.30, 1 Cd 3.28
In 0.6665 0.6665 0.2913  7 Tb 3.15-3.30, 1 Cd 3.28